KMnPt2: relaxed, PBE.

It has space group P4/mmm (No. 123), with a = 5.146 Å, b = 5.146 Å, c = 2.845 Å, α = 90.00°, β = 90.00° and γ = 90.00°. Symmetry generates all atoms from K at (0.000, 0.000, 0.000), Mn at (0.500, 0.500, 0.000) and Pt at (0.000, 0.500, 0.500).

The density of states at the Fermi level comes out at 0.51 states/eV/atom. The calculation puts the formation energy at 1.30 eV/f.u.

=====

KMnPt: relaxed, PBE.

It has space group F-43m (No. 216), with a = 6.774 Å, b = 6.774 Å, c = 6.774 Å, α = 90.00°, β = 90.00° and γ = 90.00°. Symmetry generates all atoms from K at (0.000, 0.000, 0.000), Mn at (0.000, 0.000, 0.500) and Pt at (0.250, 0.250, 0.750).

The density of states at the Fermi level comes out at 0.96 states/eV/atom. The calculation puts the formation energy at 1.75 eV/f.u. The calculation puts the energy above the most stable polymorph in this dataset at 0.588 eV/atom.

=====

KMnPt: relaxed, PBE.

It has space group P6_3/mmc (No. 194), with a = 5.8405 Å, b = 5.8405 Å, c = 9.6416 Å, α = 90.00°, β = 90.00° and γ = 120.00°. Symmetry generates all atoms from K at (0.3333, 0.6667, 0.2500), Mn at (0.0000, 0.0000, 0.2500) and Pt at (0.0000, 0.0000, 0.0000).

The density of states at the Fermi level comes out at 0.81 states/eV/atom. The calculation puts the formation energy at 2.63 eV/f.u. The calculation puts the energy above the most stable polymorph in this dataset at 0.882 eV/atom.